First-principles (PBE) data for crystalline Pr3Y12In at its relaxed geometry, as listed in Alexandria.

Results
space-group type = P4/mmm, No. 123
formation enthalpy at 0 K = -0.0407 eV per atom

Unit cell a=5.024 b=5.024 c=20.410 alpha=90.00 beta=90.00 gamma=90.00
Fractional coordinates of all 16 atoms:
1 Pr 0.000 0.000 0.000
2 Pr 0.000 0.000 0.252
3 Pr 0.000 0.000 0.748
4 Y 0.000 0.500 0.127
5 Y 0.000 0.500 0.382
6 Y 0.000 0.500 0.618
7 Y 0.000 0.500 0.873
8 Y 0.500 0.000 0.127
9 Y 0.500 0.000 0.382
10 Y 0.500 0.000 0.618
11 Y 0.500 0.000 0.873
12 Y 0.500 0.500 0.000
13 Y 0.500 0.500 0.258
14 Y 0.500 0.500 0.500
15 Y 0.500 0.500 0.742
16 In 0.000 0.000 0.500



First-principles (PBE) data for crystalline Sm4AgAu at its relaxed geometry, as listed in Alexandria.

Results
space-group type = P4/mmm, No. 123
formation enthalpy at 0 K = -0.1562 eV per atom

Unit cell a=5.092 b=5.092 c=7.232 alpha=90.00 beta=90.00 gamma=90.00
Fractional coordinates of all 6 atoms:
1 Sm 0.000 0.500 0.244
2 Sm 0.000 0.500 0.756
3 Sm 0.500 0.000 0.244
4 Sm 0.500 0.000 0.756
5 Ag 0.000 0.000 0.500
6 Au 0.500 0.500 0.000



First-principles (PBE) data for crystalline LiTbNdGd at its relaxed geometry, as listed in Alexandria.

Results
space-group type = F-43m, No. 216
formation enthalpy at 0 K = 0.1785 eV per atom

Unit cell a=5.554 b=5.554 c=5.554 alpha=60.00 beta=60.00 gamma=60.00
Fractional coordinates of all 4 atoms:
1 Li 0.000 0.000 0.000
2 Tb 0.250 0.250 0.250
3 Nd 0.750 0.750 0.750
4 Gd 0.500 0.500 0.500



First-principles (PBE) data for crystalline Ag2SnHg at its relaxed geometry, as listed in Alexandria.

Results
distance to the lowest polymorph of the same formula = 51 meV/atom
space-group type = Fm-3m, No. 225
formation enthalpy at 0 K = 0.1067 eV per atom

Unit cell a=4.952 b=4.952 c=4.952 alpha=60.00 beta=60.00 gamma=60.00
Fractional coordinates of all 4 atoms:
1 Ag 0.250 0.250 0.250
2 Ag 0.750 0.750 0.750
3 Sn 0.000 0.000 0.000
4 Hg 0.500 0.500 0.500



First-principles (PBE) data for crystalline CsMgTiCl6 at its relaxed geometry, as listed in Alexandria.

Results
formation energy without anion corrections = -1.74 eV per atom
space-group type = Imma, No. 74

Unit cell a=9.172 b=9.172 c=9.172 alpha=121.10 beta=119.51 gamma=89.47
Fractional coordinates of all 18 atoms:
1 Cs 0.359 0.109 0.250
2 Cs 0.641 0.891 0.750
3 Mg 0.000 0.000 0.500
4 Mg 0.000 0.500 0.000
5 Ti 0.000 0.500 0.500
6 Ti 0.500 0.500 0.000
7 Cl 0.076 0.826 0.250
8 Cl 0.082 0.431 0.263
9 Cl 0.082 0.819 0.650
10 Cl 0.309 0.559 0.750
11 Cl 0.331 0.181 0.763
12 Cl 0.331 0.569 0.150
13 Cl 0.669 0.431 0.850
14 Cl 0.669 0.819 0.237
15 Cl 0.691 0.441 0.250
16 Cl 0.918 0.181 0.350
17 Cl 0.918 0.569 0.737
18 Cl 0.924 0.174 0.750



First-principles (PBE) data for crystalline AlRu2WN at its relaxed geometry, as listed in Alexandria.

Results
formation energy without anion corrections = -0.03 eV per atom
space-group type = P4/mmm, No. 123

Unit cell a=4.059 b=4.059 c=4.051 alpha=90.00 beta=90.00 gamma=90.00
Fractional coordinates of all 5 atoms:
1 Al 0.000 0.000 0.000
2 Ru 0.000 0.500 0.500
3 Ru 0.500 0.000 0.500
4 W 0.500 0.500 0.000
5 N 0.500 0.500 0.500



First-principles (PBE) data for crystalline Na2NpAlO4 at its relaxed geometry, as listed in Alexandria.

Results
formation energy without anion corrections = -2.18 eV per atom
space-group type = P2/m, No. 10

Unit cell a=5.719 b=3.142 c=5.894 alpha=90.00 beta=108.49 gamma=90.00
Fractional coordinates of all 8 atoms:
1 Na 0.000 0.000 0.000
2 Na 0.500 0.500 0.000
3 Np 0.000 0.500 0.500
4 Al 0.500 0.000 0.500
5 O 0.292 0.500 0.307
6 O 0.293 0.000 0.708
7 O 0.707 0.000 0.292
8 O 0.708 0.500 0.693



First-principles (PBE) data for crystalline MnW2Au at its relaxed geometry, as listed in Alexandria.

Results
distance to the lowest polymorph of the same formula = 110 meV/atom
space-group type = Pmm2, No. 25
formation enthalpy at 0 K = 0.3328 eV per atom

Unit cell a=2.718 b=4.062 c=5.730 alpha=90.00 beta=90.00 gamma=90.00
Fractional coordinates of all 4 atoms:
1 Mn 0.000 0.000 0.000
2 W 0.000 0.000 0.487
3 W 0.500 0.500 0.240
4 Au 0.500 0.500 0.755



Number 1: size of the total moment 0.57 μB/f.u.. Number 2: size of the total moment 0.00 μB/f.u.. Number 3: size of the total moment 7.28 μB/f.u.. Number 4: size of the total moment 0.00 μB/f.u.. Number 5: size of the total moment 1.00 μB/f.u.. Number 6: size of the total moment 0.00 μB/f.u.. Number 7: size of the total moment 3.94 μB/f.u.. Number 8: size of the total moment 2.75 μB/f.u..